Record 1
# LiFeOs2

Crystalline LiFeOs2 at its relaxed geometry (GGA-PBE, the Alexandria database).

Computed properties:
Formation energy (eV per atom): 0.248
DFT total energy (eV/atom): -7.9608
Crystal system: orthorhombic
Symmetry: Imm2 (44)

Cell lengths 4.8396, 4.8396, 4.8396 Å; angles 144.69, 129.25, 63.34 degrees
Site moments in Bohr magnetons follow the coordinates.
Fractional coordinates of all 4 atoms:
1 Fe 0.4936 0.4936 0.0000  2.06
2 Li 0.2590 0.7590 0.5000  -0.01
3 Os 0.0042 0.0042 0.0000  0.06
4 Os 0.7432 0.2432 0.5000  -0.15

---

Record 2
# Cs3Bi2Pb4

Crystalline Cs3Bi2Pb4 at its relaxed geometry (GGA-PBE, the Alexandria database).

Computed properties:
Formation energy (eV per atom): -0.187
DFT total energy (eV/atom): -2.9819
Crystal system: triclinic
Symmetry: P-1 (2)

Cell lengths 5.7187, 7.9106, 9.8933 Å; angles 73.68, 80.07, 67.69 degrees
Fractional coordinates of all 9 atoms:
1 Cs 0.6338 0.1186 0.6501
2 Cs 0.0000 0.0000 0.0000
3 Cs 0.3662 0.8814 0.3499
4 Bi 0.6451 0.3203 0.2623
5 Bi 0.3549 0.6797 0.7377
6 Pb 0.2889 0.3723 0.9970
7 Pb 0.9582 0.4944 0.6791
8 Pb 0.0418 0.5056 0.3209
9 Pb 0.7111 0.6277 0.0030

---

Record 3
# HoTm5Tl6

Crystalline HoTm5Tl6 at its relaxed geometry (GGA-PBE, the Alexandria database).

Computed properties:
Formation energy (eV per atom): -0.295
DFT total energy (eV/atom): -3.7232
Crystal system: monoclinic
Symmetry: C2/m (12)

Cell lengths 5.3232, 9.2279, 9.2279 Å; angles 120.19, 106.82, 106.82 degrees
Fractional coordinates of all 12 atoms:
1 Tl 0.2511 0.0837 0.4183
2 Tl 0.7489 0.5817 0.9163
3 Tl 0.7516 0.2518 0.2518
4 Tl 0.2484 0.7482 0.7482
5 Tl 0.2511 0.4183 0.0837
6 Tl 0.7489 0.9163 0.5817
7 Tm 0.5000 0.1661 0.8339
8 Tm 0.0000 0.3332 0.6668
9 Tm 0.5000 0.5000 0.5000
10 Tm 0.0000 0.6668 0.3332
11 Tm 0.5000 0.8339 0.1661
12 Ho 0.0000 0.0000 0.0000

---

Record 4
# SmY3Er2Te6

Crystalline SmY3Er2Te6 at its relaxed geometry (GGA-PBE, the Alexandria database).

Computed properties:
DFT total energy (eV/atom): -5.6306
Crystal system: monoclinic
Symmetry: C2/m (12)
ΔE_f (raw) (meV per atom): -1290

Cell lengths 4.3411, 8.7714, 9.7490 Å; angles 102.65, 102.86, 90.00 degrees
Fractional coordinates of all 12 atoms:
1 Sm 0.5000 0.0000 0.0000
2 Y 0.5000 0.5000 0.0000
3 Y 0.8385 0.1665 0.6770
4 Y 0.1615 0.8335 0.3230
5 Er 0.8361 0.6705 0.6722
6 Er 0.1639 0.3295 0.3278
7 Te 0.3293 0.9117 0.6586
8 Te 0.6690 0.5815 0.3380
9 Te 0.6707 0.0883 0.3414
10 Te 0.0021 0.2560 0.0043
11 Te 0.9979 0.7440 0.9957
12 Te 0.3310 0.4185 0.6620

---

Number 1: DOS at the Fermi energy 3.40 states/eV/cell. Number 2: DOS at the Fermi energy 2.40 states/eV/cell. Number 3: DOS at the Fermi energy 9.95 states/eV/cell. Number 4: DOS at the Fermi energy 6.90 states/eV/cell.